A geometry-optimized La5Tb2Y structure. Source: Alexandria via LeMat-Bulk, functional PBE.

Cell: 14.1861 14.1862 12.8150 Å, 50.99 50.99 99.34°
Closest atoms and distances in Å follow each position.
Positions (direct):
La  0.8323  0.5512  0.7679  3 Tb 3.18-3.38, 2 La 3.47-3.48
Y  0.2508  0.7492  0.7500  2 Y 3.31
La  0.4488  0.1677  0.7321  3 Tb 3.18-3.38, 2 La 3.47-3.48
La  0.1677  0.4488  0.2321  3 Tb 3.18-3.38, 2 La 3.47-3.48
La  0.9855  0.8043  0.7462  4 La 3.25-3.63, 1 Tb 3.47
La  0.8043  0.9855  0.2462  4 La 3.25-3.63, 1 Tb 3.47
La  0.5512  0.8323  0.2679  3 Tb 3.18-3.38, 2 La 3.47-3.48
La  0.1957  0.0145  0.7538  4 La 3.25-3.63, 1 Tb 3.47
Y  0.7492  0.2508  0.2500  2 Y 3.31
La  0.4110  0.5890  0.2500  2 La 3.25
Tb  0.5000  0.0000  0.0000  2 Tb 3.31, 4 La 3.36-3.38
Tb  0.0000  0.5000  0.5000  2 Tb 3.31, 4 La 3.36-3.38
Tb  0.5000  0.5000  0.5000  4 La 3.18-3.47
Tb  0.5000  0.5000  0.0000  4 La 3.18-3.47
La  0.5890  0.4110  0.7500  2 La 3.25
La  0.0145  0.1957  0.2538  4 La 3.25-3.63, 1 Tb 3.47

Its formation energy from the elements is 0.299 eV/atom. The size of the total moment comes out at 0.0000 μB per atom. For the total DFT energy (no corrections), the calculation gives -38.0 eV/f.u. Its space group is C2/c, No. 15.